(1)
DFT (GGA-PBE) results for crystalline Li2SnBr at its relaxed geometry.

Cell: 5.0277 5.0277 5.0277 Å, 60.00 60.00 60.00°
Closest atoms and distances in Å follow each position.
Fractional coordinates of all 4 atoms:
Li (0.2500, 0.2500, 0.2500)  4 Sn 3.08, 4 Br 3.08
Sn (0.5000, 0.5000, 0.5000)  8 Li 3.08
Br (0.0000, 0.0000, 0.0000)  8 Li 3.08
Li (0.7500, 0.7500, 0.7500)  4 Sn 3.08, 4 Br 3.08

Properties
As for the energy above the most stable polymorph in this dataset: 1.336 eV/f.u. As for the calculated volume: 22.47 A^3/atom. The value obtained for the formation energy (no corrections) is -0.2265 eV per atom. The value obtained for the density of states at the Fermi level is 3.72 states/eV/f.u.

(2)
DFT (GGA-PBE) results for crystalline ZrScCl2 at its relaxed geometry.

Cell: 3.1261 6.0487 4.3954 Å, 90.00 90.00 90.00°
Closest atoms and distances in Å follow each position.
Fractional coordinates of all 4 atoms:
Zr (0.0000, 0.5000, 0.5000)  4 Cl 2.70
Cl (0.5000, 0.5000, 0.0000)  4 Zr 2.70
Cl (0.0000, 0.0000, 0.0000)  4 Sc 2.70
Sc (0.5000, 0.0000, 0.5000)  4 Cl 2.70

Properties
As for the energy above the most stable polymorph in this dataset: 2.103 eV/f.u. As for the calculated volume: 20.78 A^3/atom. The value obtained for the formation energy (no corrections) is -0.8266 eV per atom. The value obtained for the density of states at the Fermi level is 2.68 states/eV/f.u.

(3)
DFT (GGA-PBE) results for crystalline SrSiAsBr2 at its relaxed geometry.

Cell: 5.7194 5.7194 6.3340 Å, 90.00 90.00 90.00°
Closest atoms and distances in Å follow each position.
Fractional coordinates of all 5 atoms:
As (0.0000, 0.0000, 0.5000)  2 Sr 3.17
Sr (0.0000, 0.0000, 0.0000)  4 Br 2.86, 2 As 3.17
Br (0.5000, 0.0000, 0.0000)  2 Sr 2.86
Si (0.5000, 0.5000, 0.5000)  4 As 4.04, 8 Br 4.27
Br (0.0000, 0.5000, 0.0000)  2 Sr 2.86

Properties
As for the energy above the most stable polymorph in this dataset: 3.357 eV/f.u. As for the calculated volume: 41.44 A^3/atom. The value obtained for the formation energy (no corrections) is 0.1305 eV per atom. The value obtained for the density of states at the Fermi level is 3.10 states/eV/f.u.

(4)
DFT (GGA-PBE) results for crystalline BaFe4Ru at its relaxed geometry.

Cell: 5.1577 5.1577 5.1577 Å, 60.00 60.00 60.00°
Closest atoms and distances in Å follow each position.
Fractional coordinates of all 6 atoms:
Fe (0.3772, 0.3772, 0.3772)  6 Fe 2.53-2.62
Ru (0.7500, 0.7500, 0.7500)  12 Fe 3.02, 4 Ba 3.16
Fe (0.3772, 0.3772, 0.8685)  6 Fe 2.53-2.62
Fe (0.3772, 0.8685, 0.3772)  6 Fe 2.53-2.62
Ba (0.0000, 0.0000, 0.0000)  12 Fe 3.03, 4 Ru 3.16
Fe (0.8685, 0.3772, 0.3772)  6 Fe 2.53-2.62

Properties
The value obtained for the formation enthalpy at 0 K is 0.677 eV/atom. As for the calculated volume: 16.17 A^3/atom. The value obtained for the density of states at the Fermi level is 6.21 states/eV/f.u.

These records have uncorrected energy values of -2.60, -5.47, -2.89, -6.83 eV per atom, in the order they appear.